Record 1
Co2CuNi: PBEsol geometry, SCAN.

Summary:
**ΔH_f (0 K)**: 0.10 eV/atom
**D(E_F)**: 0.91 states/eV/atom
**Calculated volume**: 10.561 Å³/atom
**SG**: Pmm2 (25)
**Total energy**: -16.40 eV per atom
**ΔE to the lowest computed polymorph**: 0.043 eV per atom

Cell lengths 2.4541, 3.4745, 4.9542 Å; angles 90.00, 90.00, 90.00 degrees
Fractional coordinates of all 4 atoms:
Co: 0.0000 0.0000 0.0056
Co: 0.5000 0.5000 0.2407
Ni: 0.5000 0.5000 0.7516
Cu: 0.0000 0.0000 0.5021

---

Record 2
YCrCo2: PBEsol geometry, SCAN.

Summary:
**ΔH_f (0 K)**: 0.17 eV/atom
**D(E_F)**: 0.63 states/eV/atom
**Calculated volume**: 16.133 Å³/atom
**SG**: R3m (160)
**Total energy**: -20.04 eV per atom
**ΔE to the lowest computed polymorph**: 0.000 eV per atom

Cell lengths 3.8994, 3.8994, 5.3929 Å; angles 68.81, 68.81, 60.00 degrees
Fractional coordinates of all 4 atoms:
Y: 0.2476 0.2476 0.2571
Co: 0.0535 0.0535 0.8394
Co: 0.7621 0.7621 0.7137
Cr: 0.4367 0.4367 0.6898

---

Record 3
Al2ReNi: PBEsol geometry, SCAN.

Summary:
**ΔH_f (0 K)**: -0.34 eV/atom
**D(E_F)**: 0.40 states/eV/atom
**Calculated volume**: 13.209 Å³/atom
**SG**: Cmmm (65)
**Total energy**: -26.04 eV per atom
**ΔE to the lowest computed polymorph**: 0.142 eV per atom

Cell lengths 2.6649, 2.6649, 7.7291 Å; angles 90.00, 90.00, 105.72 degrees
Fractional coordinates of all 4 atoms:
Al: 0.0000 0.0000 0.2706
Re: 0.5000 0.5000 0.0000
Al: 0.0000 0.0000 0.7294
Ni: 0.5000 0.5000 0.5000

---

Record 4
ZnHg4Te5: PBEsol geometry, SCAN.

Summary:
**D(E_F)**: 0.03 states/eV/atom
**Calculated volume**: 33.068 Å³/atom
**Raw formation energy**: -211 kJ/mol of formula units
**SG**: R3m (160)
**Total energy**: -47.46 eV per atom

Cell lengths 4.5359, 4.5359, 18.7424 Å; angles 83.05, 83.05, 60.00 degrees
Fractional coordinates of all 10 atoms:
Te: 0.7468 0.7468 0.7597
Te: 0.9518 0.9518 0.1447
Te: 0.1487 0.1487 0.5540
Hg: 0.1990 0.1990 0.4030
Hg: 0.0021 0.0021 0.9938
Zn: 0.4004 0.4004 0.7988
Te: 0.3532 0.3532 0.9405
Hg: 0.7973 0.7973 0.6080
Hg: 0.6006 0.6006 0.1982
Te: 0.5502 0.5502 0.3493

---

Record 5
BaTl2In: PBEsol geometry, SCAN.

Summary:
**ΔH_f (0 K)**: -0.38 eV/atom
**D(E_F)**: 0.37 states/eV/atom
**Calculated volume**: 32.286 Å³/atom
**SG**: Cm (8)
**Total energy**: -54.79 eV per atom

Cell lengths 5.0658, 5.0572, 6.5178 Å; angles 112.87, 90.00, 120.06 degrees
Fractional coordinates of all 4 atoms:
Tl: 0.2713 0.5426 0.8147
Ba: 0.4991 0.9982 0.4967
In: 0.7223 0.4446 0.1665
Tl: 0.0073 0.0146 0.0220

---

Record 6
NaBiSe2: PBEsol geometry, SCAN.

Summary:
**D(E_F)**: 0.10 states/eV/atom
**Calculated volume**: 25.322 Å³/atom
**Raw formation energy**: -261 kJ/mol of formula units
**SG**: P4/mmm (123)
**Total energy**: -31.41 eV per atom

Cell lengths 4.1989, 4.1989, 5.7451 Å; angles 90.00, 90.00, 90.00 degrees
Fractional coordinates of all 4 atoms:
Bi: 0.5000 0.5000 0.5000
Se: 0.0000 0.0000 0.5000
Se: 0.5000 0.5000 0.0000
Na: 0.0000 0.0000 0.0000